(1)
AlPPtO | PBE-GGA | optimized geometry

SG: P4/nmm
Energy: -47.91 eV per cell
ΔE to the lowest computed polymorph: 92 meV/atom

Cell lengths 3.696, 3.696, 8.649 Å; angles 90.00, 90.00, 90.00 degrees
Atoms (fractional coordinates):
Al 0.250 0.250 0.082
Al 0.750 0.750 0.918
P 0.250 0.250 0.686
P 0.750 0.750 0.314
Pt 0.250 0.750 0.500
Pt 0.750 0.250 0.500
O 0.250 0.750 0.000
O 0.750 0.250 0.000

(2)
AlPPtO | PBE-GGA | optimized geometry

SG: Pmc2_1
Energy: -48.64 eV per cell
ΔE to the lowest computed polymorph: 0 meV/atom

Cell lengths 4.009, 7.143, 4.648 Å; angles 90.00, 90.00, 90.00 degrees
Atoms (fractional coordinates):
Al 0.000 0.131 0.000
Al 0.000 0.869 0.500
P 0.500 0.298 0.883
P 0.500 0.702 0.383
Pt 0.500 0.386 0.393
Pt 0.500 0.614 0.893
O 0.000 0.101 0.373
O 0.000 0.899 0.873

(3)
AlPPtO | PBE-GGA | optimized geometry

SG: P4/nmm
Energy: -40.13 eV per cell
ΔE to the lowest computed polymorph: 1064 meV/atom

Cell lengths 4.044, 4.044, 8.052 Å; angles 90.00, 90.00, 90.00 degrees
Atoms (fractional coordinates):
Al 0.250 0.750 0.000
Al 0.750 0.250 0.000
P 0.250 0.250 0.166
P 0.750 0.750 0.834
Pt 0.250 0.250 0.567
Pt 0.750 0.750 0.433
O 0.250 0.750 0.500
O 0.750 0.250 0.500

(4)
AlRePO | PBE-GGA | optimized geometry

SG: Pmc2_1
Energy: -58.91 eV per cell
ΔE to the lowest computed polymorph: 402 meV/atom

Cell lengths 3.183, 5.692, 5.796 Å; angles 90.00, 90.00, 90.00 degrees
Atoms (fractional coordinates):
Al 0.000 0.132 0.000
Al 0.000 0.868 0.500
Re 0.500 0.497 0.136
Re 0.500 0.503 0.636
P 0.000 0.284 0.414
P 0.000 0.716 0.914
O 0.500 0.216 0.873
O 0.500 0.784 0.373